Here is crystalline Li3CoRh2O6 at its relaxed geometry from Alexandria via LeMat-Bulk. Energies are from PBE+U.

The structure in CIF format:
```
data_Li3CoRh2O6
_chemical_formula_sum 'Li3 Co1 Rh2 O6'
_space_group_name_H-M_alt 'P 1'
_space_group_IT_number 1
_cell_length_a 5.220
_cell_length_b 5.220
_cell_length_c 5.049
_cell_angle_alpha 99.88
_cell_angle_beta 99.88
_cell_angle_gamma 120.07
loop_
_space_group_symop_operation_xyz
'x,y,z'
loop_
_atom_site_label
_atom_site_fract_x
_atom_site_fract_y
_atom_site_fract_z
_atom_site_occupancy
Li1 0.163 0.837 0.500 1
Li2 0.837 0.163 0.500 1
Li3 0.500 0.500 0.500 1
Co1 0.000 0.000 0.000 1
Rh1 0.333 0.667 0.000 1
Rh2 0.667 0.333 0.000 1
O1 0.925 0.606 0.775 1
O2 0.755 0.755 0.223 1
O3 0.075 0.394 0.225 1
O4 0.606 0.925 0.775 1
O5 0.245 0.245 0.777 1
O6 0.394 0.075 0.225 1
```

Properties
For the total energy, the calculation gives -70.6 eV per cell. Its space group is No. 12. As for the crystal system: monoclinic.